Record 1
A plane-wave DFT calculation with PBE was carried out for a geometry-optimized ScAlPd2 structure.

Electronic total energy = -23.0 eV/f.u.
Space-group type = No. 216

Cell lengths 4.5324, 4.5324, 4.5324 Å; angles 60.00, 60.00, 60.00 degrees
Last column: nearest neighbours and their distance in Å.
Element x y z (fractional)
Al (0.5000, 0.5000, 0.5000)  4 Pd 2.78, 4 Sc 2.78
Sc (0.2500, 0.2500, 0.2500)  4 Al 2.78, 4 Pd 2.78
Pd (0.7500, 0.7500, 0.7500)  4 Al 2.78, 4 Pd 2.78
Pd (0.0000, 0.0000, 0.0000)  4 Pd 2.78, 4 Sc 2.78

Record 2
A plane-wave DFT calculation with PBE was carried out for a geometry-optimized ScAlPd2 structure.

Electronic total energy = -23.9 eV/f.u.
Space-group type = No. 123

Cell lengths 4.5012, 4.5012, 3.1953 Å; angles 90.00, 90.00, 90.00 degrees
Last column: nearest neighbours and their distance in Å.
Element x y z (fractional)
Al (0.0000, 0.0000, 0.0000)  8 Pd 2.76
Sc (0.5000, 0.5000, 0.0000)  8 Pd 2.76
Pd (0.0000, 0.5000, 0.5000)  4 Al 2.76, 4 Sc 2.76
Pd (0.5000, 0.0000, 0.5000)  4 Al 2.76, 4 Sc 2.76

Record 3
A plane-wave DFT calculation with PBE was carried out for a geometry-optimized ScAlPd structure.

Electronic total energy = -17.1 eV/f.u.
Space-group type = No. 216

Cell lengths 4.3950, 4.3950, 4.3950 Å; angles 60.00, 60.00, 60.00 degrees
Last column: nearest neighbours and their distance in Å.
Element x y z (fractional)
Al (0.2500, 0.2500, 0.2500)  4 Pd 2.69
Sc (0.7500, 0.7500, 0.7500)  4 Pd 2.69
Pd (0.0000, 0.0000, 0.0000)  4 Sc 2.69, 4 Al 2.69

Record 4
A plane-wave DFT calculation with PBE was carried out for a geometry-optimized ScAl2Pd2 structure.

Electronic total energy = -27.8 eV/f.u.
Space-group type = No. 139

Cell lengths 6.2502, 6.2502, 6.2502 Å; angles 143.14, 143.14, 53.12 degrees
Last column: nearest neighbours and their distance in Å.
Element x y z (fractional)
Sc (0.0000, 0.0000, 0.0000)  8 Pd 3.08, 8 Al 3.42
Al (0.7500, 0.2500, 0.5000)  4 Pd 2.48
Al (0.2500, 0.7500, 0.5000)  4 Pd 2.48
Pd (0.3847, 0.3847, 0.0000)  4 Al 2.48, 1 Pd 2.58
Pd (0.6153, 0.6153, 0.0000)  4 Al 2.48, 1 Pd 2.58

Record 5
A plane-wave DFT calculation with PBE was carried out for a geometry-optimized ScAlPd structure.

Electronic total energy = -15.4 eV/f.u.
Space-group type = No. 216

Cell lengths 4.4613, 4.4613, 4.4613 Å; angles 60.00, 60.00, 60.00 degrees
Last column: nearest neighbours and their distance in Å.
Element x y z (fractional)
Sc (0.0000, 0.0000, 0.0000)  4 Pd 2.73, 4 Al 2.73
Pd (0.7500, 0.7500, 0.7500)  4 Sc 2.73
Al (0.2500, 0.2500, 0.2500)  4 Sc 2.73

Record 6
A plane-wave DFT calculation with PBE was carried out for a geometry-optimized ScAl2Pd structure.

Electronic total energy = -21.4 eV/f.u.
Space-group type = No. 216

Cell lengths 4.5501, 4.5501, 4.5501 Å; angles 60.00, 60.00, 60.00 degrees
Last column: nearest neighbours and their distance in Å.
Element x y z (fractional)
Al (0.5000, 0.5000, 0.5000)  4 Al 2.79, 4 Pd 2.79
Al (0.2500, 0.2500, 0.2500)  4 Sc 2.79, 4 Al 2.79
Sc (0.0000, 0.0000, 0.0000)  4 Al 2.79, 4 Pd 2.79
Pd (0.7500, 0.7500, 0.7500)  4 Al 2.79, 4 Sc 2.79

Record 7
A plane-wave DFT calculation with PBE was carried out for a geometry-optimized ScAlPd2 structure.

Electronic total energy = -23.9 eV/f.u.
Space-group type = No. 62

Cell lengths 5.5619, 7.1420, 6.8184 Å; angles 90.00, 90.00, 90.00 degrees
Last column: nearest neighbours and their distance in Å.
Element x y z (fractional)
Pd (0.4180, 0.0484, 0.8047)  3 Al 2.49-2.55
Pd (0.0820, 0.0484, 0.3047)  3 Al 2.49-2.55
Pd (0.0820, 0.4516, 0.3047)  3 Al 2.49-2.55
Pd (0.9180, 0.5484, 0.6953)  3 Al 2.49-2.55
Pd (0.4180, 0.4516, 0.8047)  3 Al 2.49-2.55
Pd (0.5820, 0.9516, 0.1953)  3 Al 2.49-2.55
Pd (0.9180, 0.9516, 0.6953)  3 Al 2.49-2.55
Pd (0.5820, 0.5484, 0.1953)  3 Al 2.49-2.55
Al (0.3568, 0.2500, 0.1086)  6 Pd 2.49-2.55
Al (0.8568, 0.7500, 0.3914)  6 Pd 2.49-2.55
Al (0.1432, 0.2500, 0.6086)  6 Pd 2.49-2.55
Al (0.6432, 0.7500, 0.8914)  6 Pd 2.49-2.55
Sc (0.3482, 0.7500, 0.5231)  3 Al 2.88-3.00, 8 Pd 2.89-3.03
Sc (0.1518, 0.7500, 0.0231)  3 Al 2.88-3.00, 8 Pd 2.89-3.03
Sc (0.6518, 0.2500, 0.4769)  3 Al 2.88-3.00, 8 Pd 2.89-3.03
Sc (0.8482, 0.2500, 0.9769)  3 Al 2.88-3.00, 8 Pd 2.89-3.03

Record 8
A plane-wave DFT calculation with PBE was carried out for a geometry-optimized ScAlPd2 structure.

Electronic total energy = -24.0 eV/f.u.
Space-group type = No. 123

Cell lengths 3.2166, 3.2166, 6.2958 Å; angles 90.00, 90.00, 90.00 degrees
Last column: nearest neighbours and their distance in Å.
Element x y z (fractional)
Al (0.0000, 0.0000, 0.0000)  8 Pd 2.69
Pd (0.5000, 0.5000, 0.7704)  4 Al 2.69, 4 Sc 2.84, 1 Pd 2.89
Pd (0.5000, 0.5000, 0.2296)  4 Al 2.69, 4 Sc 2.84, 1 Pd 2.89
Sc (0.0000, 0.0000, 0.5000)  8 Pd 2.84, 2 Al 3.15

Record 9
A plane-wave DFT calculation with PBE was carried out for a geometry-optimized Sc3Al3SiPd2 structure.

Electronic total energy = -52.7 eV/f.u.
Space-group type = No. 189

Cell lengths 7.1158, 7.1158, 3.6248 Å; angles 90.00, 90.00, 120.00 degrees
Last column: nearest neighbours and their distance in Å.
Element x y z (fractional)
Si (0.0000, 0.0000, 0.5000)  6 Al 2.60, 3 Sc 2.81
Al (0.7372, 0.7372, 0.0000)  2 Si 2.60, 2 Pd 2.66
Al (0.2628, 0.0000, 0.0000)  2 Si 2.60, 2 Pd 2.66
Al (0.0000, 0.2628, 0.0000)  2 Si 2.60, 2 Pd 2.66
Sc (0.3943, 0.3943, 0.5000)  1 Si 2.81, 4 Pd 2.84, 6 Al 3.04-3.07
Sc (0.6057, 0.0000, 0.5000)  1 Si 2.81, 4 Pd 2.84, 6 Al 3.04-3.07
Sc (0.0000, 0.6057, 0.5000)  1 Si 2.81, 4 Pd 2.84, 6 Al 3.04-3.07
Pd (0.3333, 0.6667, 0.0000)  3 Al 2.66, 6 Sc 2.84
Pd (0.6667, 0.3333, 0.0000)  3 Al 2.66, 6 Sc 2.84

Record 10
A plane-wave DFT calculation with PBE was carried out for a geometry-optimized Tm2ScAl3Si2Pd structure.

Electronic total energy = -49.7 eV/f.u.
Space-group type = No. 38

Cell lengths 4.1658, 6.7353, 6.7353 Å; angles 119.54, 90.00, 90.00 degrees
Last column: nearest neighbours and their distance in Å.
Element x y z (fractional)
Si (0.5000, 0.3396, 0.6649)  3 Al 2.59-2.66, 2 Sc 2.87
Si (0.5000, 0.6649, 0.3396)  3 Al 2.59-2.66, 2 Sc 2.87
Tm (0.0000, 0.0024, 0.4209)  1 Pd 2.85, 4 Si 2.92-2.93, 2 Al 3.09
Tm (0.0000, 0.4209, 0.0024)  1 Pd 2.85, 4 Si 2.92-2.93, 2 Al 3.09
Pd (0.0000, 0.9921, 0.9921)  6 Al 2.63-2.69, 1 Sc 2.78, 2 Tm 2.85
Sc (0.0000, 0.5820, 0.5820)  1 Pd 2.78, 4 Si 2.87, 2 Al 3.11
Al (0.5000, 0.7577, 0.9983)  2 Si 2.60-2.66, 2 Pd 2.63, 2 Al 2.80-2.84
Al (0.5000, 0.9983, 0.7577)  2 Si 2.60-2.66, 2 Pd 2.63, 2 Al 2.80-2.84
Al (0.5000, 0.2419, 0.2419)  2 Si 2.59, 2 Pd 2.69, 2 Al 2.84

Record 11
A plane-wave DFT calculation with PBE was carried out for a geometry-optimized TmSc2Al3Si2Pd structure.

Electronic total energy = -51.5 eV/f.u.
Space-group type = No. 38

Cell lengths 4.1157, 6.7083, 6.7083 Å; angles 120.50, 90.00, 90.00 degrees
Last column: nearest neighbours and their distance in Å.
Element x y z (fractional)
Si (0.5000, 0.6683, 0.3279)  3 Al 2.54-2.61, 2 Sc 2.85
Si (0.5000, 0.3279, 0.6683)  3 Al 2.54-2.61, 2 Sc 2.85
Al (0.5000, 0.2426, 0.2426)  2 Pd 2.58, 2 Si 2.61, 2 Al 2.80
Al (0.5000, 0.0018, 0.7576)  2 Si 2.54-2.60, 2 Pd 2.64, 2 Al 2.80-2.84
Al (0.5000, 0.7576, 0.0018)  2 Si 2.54-2.60, 2 Pd 2.64, 2 Al 2.80-2.84
Tm (0.0000, 0.5791, 0.5791)  1 Pd 2.85, 4 Si 2.91, 2 Al 3.04
Sc (0.0000, 0.9972, 0.4180)  1 Pd 2.79, 4 Si 2.85-2.86, 2 Al 3.06
Sc (0.0000, 0.4180, 0.9972)  1 Pd 2.79, 4 Si 2.85-2.86, 2 Al 3.06
Pd (0.0000, 0.0077, 0.0077)  6 Al 2.58-2.64, 2 Sc 2.79, 1 Tm 2.85

Record 12
A plane-wave DFT calculation with PBE was carried out for a geometry-optimized TbScAl4Pd2 structure.

Electronic total energy = -42.5 eV/f.u.
Space-group type = No. 38

Cell lengths 6.8500, 5.4311, 5.4311 Å; angles 46.30, 90.00, 90.00 degrees
Last column: nearest neighbours and their distance in Å.
Element x y z (fractional)
Pd (0.0000, 0.7103, 0.7103)  6 Al 2.58-2.65, 1 Tb 2.83
Pd (0.5000, 0.2935, 0.2935)  6 Al 2.56-2.60, 1 Sc 2.81
Al (0.7960, 0.1370, 0.1370)  3 Pd 2.56-2.65, 2 Al 2.79-2.85
Al (0.3064, 0.8603, 0.8603)  3 Pd 2.58-2.60, 2 Al 2.65-2.85
Al (0.2040, 0.1370, 0.1370)  3 Pd 2.56-2.65, 2 Al 2.79-2.85
Al (0.6936, 0.8603, 0.8603)  3 Pd 2.58-2.60, 2 Al 2.65-2.85
Tb (0.0000, 0.4271, 0.4271)  3 Pd 2.83-3.04, 4 Al 3.07
Sc (0.5000, 0.5744, 0.5744)  3 Pd 2.81-3.06, 4 Al 3.01